No. 1
VASP calculation (PBE-GGA) on a geometry-optimized SmZrOs2 structure.

a = 3.3498 Å, b = 3.3498 Å, c = 6.8978 Å
α = 90.00°, β = 90.00°, γ = 90.00°
Closest atoms and distances in Å follow each position.
Space group P4/mmm (No. 123)
Symmetry-distinct sites (fractional):
Sm 0.0000 0.0000 0.0000 [1 per cell]  8 Os 3.03, 4 Sm 3.35
Zr 0.0000 0.0000 0.5000 [1 per cell]  8 Os 2.84
Os 0.5000 0.5000 0.2736 [2 per cell]  4 Zr 2.84, 4 Sm 3.03, 1 Os 3.12

D(E_F) = 2.29 states/eV/cell
V = 19.4 A^3/atom
Calculated formation energy = -192 meV/atom
Crystal system = tetragonal

---

No. 2
VASP calculation (PBE-GGA) on a geometry-optimized Y2GaFe2Ni5 structure.

a = 8.9912 Å, b = 8.9912 Å, c = 3.6672 Å
α = 90.00°, β = 90.00°, γ = 90.00°
Closest atoms and distances in Å follow each position.
Space group P4/mbm (No. 127)
Symmetry-distinct sites (fractional):
Y 0.1809 0.3191 0.0000 [4 per cell]  3 Fe 2.57-2.74
Ga 0.0000 0.0000 0.0000 [2 per cell]  8 Ni 2.68
Fe 0.1170 0.6170 0.0000 [4 per cell]  6 Ni 2.36-2.46, 1 Y 2.57
Ni 0.0000 0.5000 0.5000 [2 per cell]  4 Fe 2.36
Ni 0.0589 0.7901 0.5000 [8 per cell]  2 Fe 2.46, 1 Ni 2.66, 2 Ga 2.68

D(E_F) = 17.57 states/eV/cell
V = 14.8 A^3/atom
Calculated formation energy = -170 meV/atom
Crystal system = tetragonal

---

No. 3
VASP calculation (PBE-GGA) on a geometry-optimized Tl2In2Hg4Pb structure.

a = 6.0271 Å, b = 6.1662 Å, c = 7.7140 Å
α = 105.18°, β = 96.45°, γ = 105.52°
Closest atoms and distances in Å follow each position.
Space group P-1 (No. 2)
Symmetry-distinct sites (fractional):
Tl 0.2422 0.4931 0.3661 [2 per cell]  4 Hg 3.16-3.46, 1 Pb 3.47, 1 In 3.49, 1 Tl 3.50
In 0.2205 0.1139 0.9358 [2 per cell]  5 Hg 3.01-3.26, 1 In 3.06, 1 Pb 3.29
Hg 0.2511 0.5800 0.8700 [2 per cell]  3 In 3.01-3.26, 1 Tl 3.16
Hg 0.4247 0.9988 0.2889 [2 per cell]  2 In 3.01-3.19, 1 Pb 3.18, 1 Tl 3.25, 1 Hg 3.28
Pb 0.0000 0.0000 0.5000 [1 per cell]  2 Hg 3.18, 2 In 3.29, 2 Tl 3.47

D(E_F) = 3.07 states/eV/cell
V = 29.0 A^3/atom
Calculated formation energy = 28 meV/atom
Crystal system = triclinic

---

No. 4
VASP calculation (PBE-GGA) on a geometry-optimized La4CdFe structure.

a = 9.0959 Å, b = 9.0959 Å, c = 9.0959 Å
α = 90.00°, β = 90.00°, γ = 90.00°
Closest atoms and distances in Å follow each position.
Space group F-43m (No. 216)
Symmetry-distinct sites (fractional):
La 0.1243 0.1243 0.3757 [16 per cell]  6 La 3.20-3.23
Cd 0.0000 0.0000 0.0000 [4 per cell]  12 La 3.77, 4 Fe 3.94
Fe 0.2500 0.2500 0.7500 [4 per cell]  12 La 3.77, 4 Cd 3.94

Energy relative to the lowest polymorph listed for this composition = 0.697 eV/atom
D(E_F) = 46.11 states/eV/cell
V = 31.4 A^3/atom
Calculated formation energy = 611 meV/atom
Crystal system = cubic

---

No. 5
VASP calculation (PBE-GGA) on a geometry-optimized SrBr structure.

a = 5.3129 Å, b = 5.3129 Å, c = 14.1250 Å
α = 90.00°, β = 90.00°, γ = 120.00°
Closest atoms and distances in Å follow each position.
Space group P6_3/mmc (No. 194)
Symmetry-distinct sites (fractional):
Sr 0.3333 0.6667 0.1229 [4 per cell]  6 Br 3.55, 1 Sr 3.59
Br 0.0000 0.0000 0.2500 [2 per cell]  3 Br 3.07
Br 0.3333 0.6667 0.7500 [2 per cell]  3 Br 3.07

D(E_F) = 3.50 states/eV/cell
V = 43.2 A^3/atom
Energy relative to the elements, uncorrected = -0.957 eV/atom
Crystal system = hexagonal

---

No. 6
VASP calculation (PBE-GGA) on a geometry-optimized Pm12NdRu7 structure.

a = 14.1083 Å, b = 14.1083 Å, c = 10.0929 Å
α = 90.00°, β = 90.00°, γ = 120.00°
Closest atoms and distances in Å follow each position.
Space group R-3 (No. 148, hexagonal axes)
Symmetry-distinct sites (fractional):
Pm 0.0332 0.6044 0.1842 [18 per cell]  3 Ru 2.71-2.78
Pm 0.0562 0.1736 0.8276 [18 per cell]  3 Ru 2.77-2.93
Nd 0.0000 0.0000 0.5000 [3 per cell]  6 Ru 3.17
Ru 0.0000 0.0000 0.0000 [3 per cell]  6 Pm 2.78
Ru 0.0773 0.2113 0.3221 [18 per cell]  5 Pm 2.71-2.93

D(E_F) = 36.00 states/eV/cell
V = 29.0 A^3/atom
Calculated formation energy = -98 meV/atom
Crystal system = trigonal

---

No. 7
VASP calculation (PBE-GGA) on a geometry-optimized Tb2PrHo3Tm6 structure.

a = 6.1143 Å, b = 10.5789 Å, c = 11.6604 Å
α = 90.00°, β = 100.04°, γ = 90.00°
Closest atoms and distances in Å follow each position.
Space group C2/m (No. 12)
Symmetry-distinct sites (fractional):
Tb 0.0000 0.1667 0.0000 [4 per cell]  3 Pr 3.53, 3 Tb 3.53, 6 Tm 3.54
Pr 0.0000 0.5000 0.0000 [2 per cell]  6 Tb 3.53, 6 Tm 3.54-3.55
Ho 0.0000 0.0000 0.5000 [2 per cell]  6 Tm 3.50, 6 Ho 3.52-3.53
Ho 0.0000 0.3331 0.5000 [4 per cell]  6 Tm 3.49-3.50, 6 Ho 3.52-3.53
Tm 0.2482 0.1670 0.7476 [8 per cell]  3 Ho 3.49-3.50, 6 Tm 3.52-3.54, 2 Tb 3.54, 1 Pr 3.55
Tm 0.2493 0.5000 0.7477 [4 per cell]  3 Ho 3.50, 6 Tm 3.52-3.54, 1 Pr 3.54, 2 Tb 3.54

D(E_F) = 32.10 states/eV/cell
V = 30.9 A^3/atom
Calculated formation energy = 23 meV/atom
Crystal system = monoclinic

---

No. 8
VASP calculation (PBE-GGA) on a geometry-optimized SrPmCu2Se4 structure.

a = 7.0044 Å, b = 7.0044 Å, c = 8.0629 Å
α = 90.00°, β = 90.00°, γ = 90.00°
Closest atoms and distances in Å follow each position.
Space group I-42m (No. 121)
Symmetry-distinct sites (fractional):
Sr 0.0000 0.0000 0.0000 [2 per cell]  8 Se 3.16-3.25
Pm 0.0000 0.0000 0.5000 [2 per cell]  4 Se 2.92
Cu 0.0000 0.5000 0.2500 [4 per cell]  4 Se 2.49
Se 0.2294 0.2294 0.7284 [8 per cell]  2 Cu 2.49

D(E_F) = 2.43 states/eV/cell
V = 24.7 A^3/atom
Energy relative to the elements, uncorrected = -1.034 eV/atom
Crystal system = tetragonal

---

No. 9
VASP calculation (PBE-GGA) on a geometry-optimized EuLuIn2 structure.

a = 7.6285 Å, b = 7.6285 Å, c = 7.6285 Å
α = 90.00°, β = 90.00°, γ = 90.00°
Closest atoms and distances in Å follow each position.
Space group Fm-3m (No. 225)
Symmetry-distinct sites (fractional):
Eu 0.0000 0.0000 0.0000 [4 per cell]  8 In 3.30
Lu 0.0000 0.0000 0.5000 [4 per cell]  8 In 3.30
In 0.2500 0.2500 0.2500 [8 per cell]  4 Eu 3.30, 4 Lu 3.30

Energy relative to the lowest polymorph listed for this composition = 0.032 eV/atom
D(E_F) = 21.41 states/eV/cell
V = 27.7 A^3/atom
Calculated formation energy = -415 meV/atom
Crystal system = cubic

---

No. 10
VASP calculation (PBE-GGA) on a geometry-optimized MgZnS2N structure.

a = 4.8935 Å, b = 4.8935 Å, c = 3.9999 Å
α = 90.00°, β = 90.00°, γ = 90.00°
Closest atoms and distances in Å follow each position.
Space group P4/mmm (No. 123)
Symmetry-distinct sites (fractional):
Mg 0.0000 0.0000 0.0000 [1 per cell]  2 N 2.00
Zn 0.5000 0.5000 0.5000 [1 per cell]  8 S 3.16, 4 N 3.46
S 0.0000 0.5000 0.0000 [2 per cell]  2 Mg 2.45
N 0.0000 0.0000 0.5000 [1 per cell]  2 Mg 2.00

Energy relative to the lowest polymorph listed for this composition = 0.250 eV/atom
D(E_F) = 3.10 states/eV/cell
V = 19.2 A^3/atom
Energy relative to the elements, uncorrected = 0.718 eV/atom
Crystal system = tetragonal

---

No. 11
VASP calculation (PBE-GGA) on a geometry-optimized Pm3FePb structure.

a = 5.2133 Å, b = 5.2133 Å, c = 5.2133 Å
α = 90.00°, β = 90.00°, γ = 90.00°
Closest atoms and distances in Å follow each position.
Space group Pm-3m (No. 221)
Symmetry-distinct sites (fractional):
Pm 0.0000 0.0000 0.5000 [3 per cell]  2 Fe 2.61
Fe 0.0000 0.0000 0.0000 [1 per cell]  6 Pm 2.61
Pb 0.5000 0.5000 0.5000 [1 per cell]  12 Pm 3.69

D(E_F) = 4.77 states/eV/cell
V = 28.3 A^3/atom
Calculated formation energy = -119 meV/atom
Crystal system = cubic

---

> What is the formula in the fourth record?

La4CdFe

---

> Look up the V of the second one.

14.8 A^3/atom